(1)
A crystal of ReRuPt relaxed with PBEsol. Source: Alexandria, functional meta-GGA SCAN. Values from VASP.

```
&SYSTEM
  ibrav = 0, nat = 3, ntyp = 3
/
ATOMIC_SPECIES
Re 186.21 Re.upf
Pt 195.08 Pt.upf
Ru 101.07 Ru.upf
CELL_PARAMETERS angstrom
-1.790 -0.178 -2.040
0.094 -1.944 1.900
-4.503 3.357 3.658
ATOMIC_POSITIONS crystal
Re 0.333 0.667 0.655
Pt 0.000 0.000 0.999
Ru 0.667 0.333 0.346
```

Properties
offset from the most stable computed form: 0.09 eV/f.u.
ΔH_f (0 K): -72.6 meV per atom

(2)
A crystal of ReRuPt2 relaxed with PBEsol. Source: Alexandria, functional meta-GGA SCAN. Values from VASP.

```
&SYSTEM
  ibrav = 0, nat = 4, ntyp = 3
/
ATOMIC_SPECIES
Re 186.21 Re.upf
Pt 195.08 Pt.upf
Ru 101.07 Ru.upf
CELL_PARAMETERS angstrom
-0.804 -1.235 -2.289
0.112 -2.713 -0.194
-8.611 -1.894 2.428
ATOMIC_POSITIONS crystal
Re 0.503 0.503 0.491
Pt 0.998 0.998 0.006
Pt 0.752 0.752 0.743
Ru 0.247 0.247 0.260
```

Properties
offset from the most stable computed form: 0.17 eV/f.u.
ΔH_f (0 K): -76.0 meV per atom

(3)
A crystal of ReRuPt relaxed with PBEsol. Source: Alexandria, functional meta-GGA SCAN. Values from VASP.

```
&SYSTEM
  ibrav = 0, nat = 3, ntyp = 3
/
ATOMIC_SPECIES
Pt 195.08 Pt.upf
Re 186.21 Re.upf
Ru 101.07 Ru.upf
CELL_PARAMETERS angstrom
4.148 0.000 0.000
2.074 3.592 0.000
2.074 1.197 3.386
ATOMIC_POSITIONS crystal
Pt 0.000 0.000 0.000
Re 0.500 0.500 0.500
Ru 0.250 0.250 0.250
```

Properties
offset from the most stable computed form: 2.09 eV/f.u.
ΔH_f (0 K): 591.5 meV per atom

(4)
A crystal of SrRe2PtS relaxed with PBEsol. Source: Alexandria, functional meta-GGA SCAN. Values from VASP.

```
&SYSTEM
  ibrav = 0, nat = 5, ntyp = 4
/
ATOMIC_SPECIES
Re 186.21 Re.upf
S 32.06 S.upf
Pt 195.08 Pt.upf
Sr 87.62 Sr.upf
CELL_PARAMETERS angstrom
4.781 0.000 0.000
0.000 4.781 0.000
0.000 0.000 5.020
ATOMIC_POSITIONS crystal
Re 0.000 0.500 0.000
Re 0.500 0.000 0.000
S 0.000 0.000 0.500
Pt 0.000 0.000 0.000
Sr 0.500 0.500 0.500
```

Properties
formation energy from raw total energies: 1304.8 meV per atom

(5)
A crystal of ReSbPt3 relaxed with PBEsol. Source: Alexandria, functional meta-GGA SCAN. Values from VASP.

```
&SYSTEM
  ibrav = 0, nat = 5, ntyp = 3
/
ATOMIC_SPECIES
Re 186.21 Re.upf
Pt 195.08 Pt.upf
Sb 121.76 Sb.upf
CELL_PARAMETERS angstrom
-0.007 1.051 -4.665
2.132 -4.175 -0.944
-4.280 -2.082 -0.462
ATOMIC_POSITIONS crystal
Re 0.000 0.000 0.000
Pt 0.000 0.500 0.000
Pt 0.000 0.000 0.500
Pt 0.500 0.000 0.000
Sb 0.500 0.500 0.500
```

Properties
formation energy from raw total energies: 1073.5 meV per atom

(6)
A crystal of ReSbPt2 relaxed with PBEsol. Source: Alexandria, functional meta-GGA SCAN. Values from VASP.

```
&SYSTEM
  ibrav = 0, nat = 4, ntyp = 3
/
ATOMIC_SPECIES
Pt 195.08 Pt.upf
Re 186.21 Re.upf
Sb 121.76 Sb.upf
CELL_PARAMETERS angstrom
2.932 0.000 0.000
-1.466 4.472 0.000
0.000 -0.959 5.017
ATOMIC_POSITIONS crystal
Pt 0.001 0.003 0.017
Pt 0.755 0.510 0.262
Re 0.498 0.996 0.468
Sb 0.246 0.491 0.754
```

Properties
formation energy from raw total energies: 212.2 meV per atom

(7)
A crystal of ReSbPt2 relaxed with PBEsol. Source: Alexandria, functional meta-GGA SCAN. Values from VASP.

```
&SYSTEM
  ibrav = 0, nat = 4, ntyp = 3
/
ATOMIC_SPECIES
Pt 195.08 Pt.upf
Re 186.21 Re.upf
Sb 121.76 Sb.upf
CELL_PARAMETERS angstrom
-0.423 1.952 -2.184
-2.734 0.532 -0.999
-1.958 7.203 4.811
ATOMIC_POSITIONS crystal
Pt 0.000 0.000 0.000
Pt 0.753 0.753 0.741
Re 0.497 0.497 0.510
Sb 0.250 0.250 0.249
```

Properties
formation energy from raw total energies: 383.6 meV per atom

(8)
A crystal of ReSbPt2 relaxed with PBEsol. Source: Alexandria, functional meta-GGA SCAN. Values from VASP.

```
&SYSTEM
  ibrav = 0, nat = 4, ntyp = 3
/
ATOMIC_SPECIES
Pt 195.08 Pt.upf
Re 186.21 Re.upf
Sb 121.76 Sb.upf
CELL_PARAMETERS angstrom
-1.184 -0.237 2.516
4.401 -0.722 2.003
0.481 4.818 0.680
ATOMIC_POSITIONS crystal
Pt 0.000 0.000 0.500
Pt 0.000 0.500 0.000
Re 0.500 0.500 0.500
Sb 0.500 0.000 0.000
```

Properties
formation energy from raw total energies: 320.3 meV per atom

(9)
A crystal of ReSb2TePt relaxed with PBEsol. Source: Alexandria, functional meta-GGA SCAN. Values from VASP.

```
&SYSTEM
  ibrav = 0, nat = 5, ntyp = 4
/
ATOMIC_SPECIES
Re 186.21 Re.upf
Te 127.60 Te.upf
Pt 195.08 Pt.upf
Sb 121.76 Sb.upf
CELL_PARAMETERS angstrom
-1.650 1.021 -4.644
1.778 -4.453 -1.611
-4.436 -2.168 1.099
ATOMIC_POSITIONS crystal
Re 0.000 0.000 0.000
Te 0.500 0.000 0.000
Pt 0.500 0.500 0.500
Sb 0.000 0.000 0.500
Sb 0.000 0.500 0.000
```

Properties
offset from the most stable computed form: 0.00 eV/f.u.
formation energy from raw total energies: 1043.6 meV per atom

(10)
A crystal of ReSb2TePt relaxed with PBEsol. Source: Alexandria, functional meta-GGA SCAN. Values from VASP.

```
&SYSTEM
  ibrav = 0, nat = 5, ntyp = 4
/
ATOMIC_SPECIES
Re 186.21 Re.upf
Te 127.60 Te.upf
Pt 195.08 Pt.upf
Sb 121.76 Sb.upf
CELL_PARAMETERS angstrom
-1.321 -2.803 3.991
-0.630 -4.002 -3.019
5.014 -1.334 0.722
ATOMIC_POSITIONS crystal
Re 0.500 0.500 0.500
Te 0.000 0.000 0.500
Pt 0.000 0.000 0.000
Sb 0.000 0.500 0.000
Sb 0.500 0.000 0.000
```

Properties
offset from the most stable computed form: 1.75 eV/f.u.
formation energy from raw total energies: 1392.8 meV per atom

(11)
A crystal of Sc2RePt relaxed with PBEsol. Source: Alexandria, functional meta-GGA SCAN. Values from VASP.

```
&SYSTEM
  ibrav = 0, nat = 4, ntyp = 3
/
ATOMIC_SPECIES
Pt 195.08 Pt.upf
Re 186.21 Re.upf
Sc 44.96 Sc.upf
CELL_PARAMETERS angstrom
-3.471 1.154 -1.242
0.785 -1.414 -3.507
-0.419 -3.862 3.590
ATOMIC_POSITIONS crystal
Pt 0.500 0.500 0.000
Re 0.250 0.750 0.500
Sc 0.000 0.000 0.000
Sc 0.750 0.250 0.500
```

Properties
ΔH_f (0 K): -502.3 meV per atom

(12)
A crystal of ScRePt relaxed with PBEsol. Source: Alexandria, functional meta-GGA SCAN. Values from VASP.

```
&SYSTEM
  ibrav = 0, nat = 3, ntyp = 3
/
ATOMIC_SPECIES
Pt 195.08 Pt.upf
Re 186.21 Re.upf
Sc 44.96 Sc.upf
CELL_PARAMETERS angstrom
-2.789 2.385 -2.272
-4.247 -0.546 0.541
-2.334 3.051 1.968
ATOMIC_POSITIONS crystal
Pt 0.250 0.250 0.250
Re 0.000 0.000 0.000
Sc 0.500 0.500 0.500
```

Properties
ΔH_f (0 K): -18.6 meV per atom

(13)
A crystal of Sc2RePt relaxed with PBEsol. Source: Alexandria, functional meta-GGA SCAN. Values from VASP.

```
&SYSTEM
  ibrav = 0, nat = 4, ntyp = 3
/
ATOMIC_SPECIES
Pt 195.08 Pt.upf
Re 186.21 Re.upf
Sc 44.96 Sc.upf
CELL_PARAMETERS angstrom
2.821 0.000 0.000
0.000 2.821 0.000
0.000 0.000 8.843
ATOMIC_POSITIONS crystal
Pt 0.000 0.000 0.517
Re 0.500 0.500 0.730
Sc 0.000 0.000 0.969
Sc 0.500 0.500 0.284
```

Properties
ΔH_f (0 K): -234.4 meV per atom

(14)
A crystal of ScRe2Pt relaxed with PBEsol. Source: Alexandria, functional meta-GGA SCAN. Values from VASP.

```
&SYSTEM
  ibrav = 0, nat = 4, ntyp = 3
/
ATOMIC_SPECIES
Pt 195.08 Pt.upf
Re 186.21 Re.upf
Sc 44.96 Sc.upf
CELL_PARAMETERS angstrom
4.017 0.000 0.000
0.000 4.169 0.000
-2.009 -2.084 3.694
ATOMIC_POSITIONS crystal
Pt 0.251 0.751 0.502
Re 0.007 0.007 0.014
Re 0.745 0.245 0.490
Sc 0.497 0.497 0.993
```

Properties
ΔH_f (0 K): -245.8 meV per atom

(15)
A crystal of Sc2RePt relaxed with PBEsol. Source: Alexandria, functional meta-GGA SCAN. Values from VASP.

```
&SYSTEM
  ibrav = 0, nat = 4, ntyp = 3
/
ATOMIC_SPECIES
Pt 195.08 Pt.upf
Re 186.21 Re.upf
Sc 44.96 Sc.upf
CELL_PARAMETERS angstrom
-2.957 -0.126 -1.886
0.311 -3.486 -0.254
-3.037 -0.621 4.803
ATOMIC_POSITIONS crystal
Pt 0.000 0.000 0.476
Re 0.500 0.500 0.775
Sc 0.000 0.000 0.962
Sc 0.500 0.500 0.287
```

Properties
ΔH_f (0 K): -265.3 meV per atom